No. 1
The following is a DFT calculation (GGA-PBE) of crystalline BaHg3S at its relaxed geometry.

Computed properties:
Energy relative to the lowest polymorph listed for this composition, kcal/mol of atoms: 11.175
Calculated total energy, eV per atom: -0.94
Uncorrected formation energy, meV per atom: 449

Cell and atoms, written as POSCAR:
```
BaHg3S
1.0
6.4964 0.0000 0.0000
0.0000 6.4964 0.0000
0.0000 0.0000 6.4964
Ba Hg S
1 3 1
Direct
0.0000 0.0000 0.0000
0.0000 0.0000 0.5000
0.0000 0.5000 0.0000
0.5000 0.0000 0.0000
0.5000 0.5000 0.5000
```

No. 2
The following is a DFT calculation (GGA-PBE) of crystalline Ac2MgCdPd at its relaxed geometry.

Computed properties:
Calculated total energy, eV per atom: -3.65
Formation energy from the elements, eV/atom: -0.462

Cell and atoms, written as POSCAR:
```
Ac2MgCdPd
1.0
8.1443 0.0000 0.0000
0.0000 4.8216 0.0000
-2.9448 0.0000 7.6412
Ac Mg Cd Pd
4 2 2 2
Direct
0.1017 0.2500 0.3386
0.2924 0.2500 0.9610
0.7076 0.7500 0.0390
0.8983 0.7500 0.6614
0.4401 0.7500 0.3375
0.5599 0.2500 0.6625
0.3329 0.7500 0.6575
0.6671 0.2500 0.3425
0.1055 0.7500 0.0830
0.8945 0.2500 0.9170
```

No. 3
The following is a DFT calculation (GGA-PBE) of crystalline TiMn2AuC at its relaxed geometry.

Computed properties:
Calculated total energy, eV per atom: -7.95
Formation energy from the elements, eV/atom: -0.198

Cell and atoms, written as POSCAR:
```
TiMn2AuC
1.0
3.8868 0.0000 0.0000
0.0000 3.8868 0.0000
0.0000 0.0000 4.1963
Ti Mn Au C
1 2 1 1
Direct
0.0000 0.0000 0.0000
0.0000 0.5000 0.5000
0.5000 0.0000 0.5000
0.5000 0.5000 0.0000
0.0000 0.0000 0.5000
```